First-principles (PBE-GGA) data for an optimized crystal structure of HOs2, as listed in Alexandria via LeMat-Bulk.

a = 3.8736 Å, b = 2.6912 Å, c = 3.9010 Å
α = 90.00°, β = 118.48°, γ = 90.00°
Last column: nearest neighbours and their distance in Å.
Space group Pm (No. 6)
Inequivalent atoms, fractional coordinates:
H (0.0000, 0.0000, 0.0000) x1  4 Os 1.96-2.07
Os (0.2032, 0.5000, 0.7730) x1  2 H 1.97
Os (0.5380, 0.0000, 0.4354) x1  2 H 1.96-2.07

Results
total energy = -8.104 eV/atom
magnetic moment = 0.0 Bohr magnetons per cell
mass density = 17.72 g/cm3
N(E_F) = 1.1 states/eV per cell